Cs2HgCl6F: relaxed, PBE.

E_tot   -2.41 eV/atom
Formation energy (no corrections)   -0.9174 eV per atom

Lattice parameters (Å, degrees): 7.2532 7.2532 7.5236 61.18 61.18 90.00
With the nearest neighbours (Å) after each atom.
Sites, in units of the cell vectors:
Cl: 0.7498 0.2502 0.0000  1 F 2.56, 1 Hg 2.57
Cl: 0.7498 0.7498 0.0000  1 F 2.56, 1 Hg 2.57
Cl: 0.2266 0.2266 0.5467  1 Hg 2.50
Cl: 0.2502 0.2502 0.0000  1 F 2.56, 1 Hg 2.57
Cl: 0.7734 0.7734 0.4533  1 Hg 2.50
Cl: 0.2502 0.7498 0.0000  1 F 2.56, 1 Hg 2.57
Hg: 0.0000 0.0000 0.0000  6 Cl 2.50-2.57
F: 0.5000 0.5000 0.0000  4 Cl 2.56
Cs: 0.2500 0.7500 0.5000  12 Cl 3.64-3.76
Cs: 0.7500 0.2500 0.5000  12 Cl 3.64-3.76